(1)
# LiTl2In | Alexandria via LeMat-Bulk | PBE | relaxed
# Calculated formation energy, eV per atom: -0.0841
# DFT total energy, eV per atom: -2.43
# Fermi-level density of states, states/eV/atom: 0.563
data_LiTl2In
_chemical_formula_sum 'Li1 Tl2 In1'
_symmetry_space_group_name_H-M 'P 1'
_symmetry_Int_Tables_number 1
_symmetry_space_group_name_Hall 'P 1'
_cell_length_a 3.385
_cell_length_b 3.385
_cell_length_c 8.816
_cell_angle_alpha 90.00
_cell_angle_beta 90.00
_cell_angle_gamma 90.00
loop_
_atom_site_label
_atom_site_fract_x
_atom_site_fract_y
_atom_site_fract_z
Li1 0.000 0.000 0.000
Tl1 0.000 0.000 0.516
Tl2 0.500 0.500 0.215
In1 0.500 0.500 0.799

=====

(2)
# SrCa2CdS | Alexandria via LeMat-Bulk | PBE | relaxed
# DFT total energy, eV per atom: -2.98
# Fermi-level density of states, states/eV/atom: 0.827
data_SrCa2CdS
_chemical_formula_sum 'Sr1 Ca2 Cd1 S1'
_symmetry_space_group_name_H-M 'P 1'
_symmetry_Int_Tables_number 1
_symmetry_space_group_name_Hall 'P 1'
_cell_length_a 5.372
_cell_length_b 5.372
_cell_length_c 5.851
_cell_angle_alpha 90.00
_cell_angle_beta 90.00
_cell_angle_gamma 90.00
loop_
_atom_site_label
_atom_site_fract_x
_atom_site_fract_y
_atom_site_fract_z
Sr1 0.000 0.000 0.000
Ca1 0.000 0.500 0.500
Ca2 0.500 0.000 0.500
Cd1 0.500 0.500 0.000
S1 0.000 0.000 0.500

=====

(3)
# TlFe2GePt | Alexandria via LeMat-Bulk | PBE | relaxed
# Calculated formation energy, eV per atom: 1.7275
# DFT total energy, eV per atom: -4.26
# Fermi-level density of states, states/eV/atom: 1.235
data_TlFe2GePt
_chemical_formula_sum 'Tl1 Fe2 Ge1 Pt1'
_symmetry_space_group_name_H-M 'P 1'
_symmetry_Int_Tables_number 1
_symmetry_space_group_name_Hall 'P 1'
_cell_length_a 4.856
_cell_length_b 4.856
_cell_length_c 5.076
_cell_angle_alpha 90.00
_cell_angle_beta 90.00
_cell_angle_gamma 90.00
loop_
_atom_site_label
_atom_site_fract_x
_atom_site_fract_y
_atom_site_fract_z
Tl1 0.000 0.000 0.000
Fe1 0.000 0.500 0.000
Fe2 0.500 0.000 0.000
Ge1 0.000 0.000 0.500
Pt1 0.500 0.500 0.500

=====

(4)
# Ba2Li3Al12Pd | Alexandria via LeMat-Bulk | PBE | relaxed
# Calculated formation energy, eV per atom: 0.0639
# DFT total energy, eV per atom: -3.25
# Fermi-level density of states, states/eV/atom: 0.504
data_Ba2Li3Al12Pd
_chemical_formula_sum 'Ba2 Li3 Al12 Pd1'
_symmetry_space_group_name_H-M 'P 1'
_symmetry_Int_Tables_number 1
_symmetry_space_group_name_Hall 'P 1'
_cell_length_a 11.144
_cell_length_b 11.144
_cell_length_c 11.144
_cell_angle_alpha 38.07
_cell_angle_beta 38.07
_cell_angle_gamma 38.07
loop_
_atom_site_label
_atom_site_fract_x
_atom_site_fract_y
_atom_site_fract_z
Ba1 0.148 0.148 0.148
Ba2 0.852 0.852 0.852
Li1 0.000 0.500 0.500
Li2 0.500 0.000 0.500
Li3 0.500 0.500 0.000
Al1 0.140 0.140 0.523
Al2 0.140 0.523 0.140
Al3 0.187 0.562 0.562
Al4 0.438 0.438 0.813
Al5 0.438 0.813 0.438
Al6 0.477 0.860 0.860
Al7 0.523 0.140 0.140
Al8 0.562 0.187 0.562
Al9 0.562 0.562 0.187
Al10 0.813 0.438 0.438
Al11 0.860 0.477 0.860
Al12 0.860 0.860 0.477
Pd1 0.500 0.500 0.500

=====

(5)
# Ba2Cd6InAg | Alexandria via LeMat-Bulk | PBE | relaxed
# Calculated formation energy, eV per atom: -0.2000
# DFT total energy, eV per atom: -1.69
# Fermi-level density of states, states/eV/atom: 0.577
data_Ba2Cd6InAg
_chemical_formula_sum 'Ba2 Cd6 In1 Ag1'
_symmetry_space_group_name_H-M 'P 1'
_symmetry_Int_Tables_number 1
_symmetry_space_group_name_Hall 'P 1'
_cell_length_a 7.423
_cell_length_b 7.464
_cell_length_c 7.467
_cell_angle_alpha 61.08
_cell_angle_beta 60.26
_cell_angle_gamma 61.46
loop_
_atom_site_label
_atom_site_fract_x
_atom_site_fract_y
_atom_site_fract_z
Ba1 0.188 0.433 0.191
Ba2 0.812 0.567 0.809
Cd1 0.154 0.884 0.331
Cd2 0.324 0.891 0.628
Cd3 0.375 0.108 0.846
Cd4 0.625 0.892 0.154
Cd5 0.676 0.109 0.372
Cd6 0.846 0.116 0.669
In1 0.500 0.500 0.500
Ag1 0.000 0.000 0.000

=====

(6)
# Li4Ac3Rh4 | Alexandria via LeMat-Bulk | PBE | relaxed
# Calculated formation energy, eV per atom: -0.3385
# DFT total energy, eV per atom: -4.83
# Fermi-level density of states, states/eV/atom: 0.363
data_Li4Ac3Rh4
_chemical_formula_sum 'Li4 Ac3 Rh4'
_symmetry_space_group_name_H-M 'P 1'
_symmetry_Int_Tables_number 1
_symmetry_space_group_name_Hall 'P 1'
_cell_length_a 3.996
_cell_length_b 4.211
_cell_length_c 14.189
_cell_angle_alpha 81.48
_cell_angle_beta 82.01
_cell_angle_gamma 89.99
loop_
_atom_site_label
_atom_site_fract_x
_atom_site_fract_y
_atom_site_fract_z
Li1 0.095 0.095 0.310
Li2 0.250 0.750 0.001
Li3 0.750 0.250 0.999
Li4 0.905 0.905 0.690
Ac1 0.352 0.351 0.797
Ac2 0.500 0.000 0.500
Ac3 0.648 0.649 0.203
Rh1 0.042 0.550 0.400
Rh2 0.186 0.186 0.130
Rh3 0.814 0.814 0.870
Rh4 0.958 0.450 0.600

=====

(7)
# Cs3KPd2F9 | Alexandria via LeMat-Bulk | PBE | relaxed
# DFT total energy, eV per atom: -4.16
# Fermi-level density of states, states/eV/atom: 0.435
data_Cs3KPd2F9
_chemical_formula_sum 'Cs3 K1 Pd2 F9'
_symmetry_space_group_name_H-M 'P 1'
_symmetry_Int_Tables_number 1
_symmetry_space_group_name_Hall 'P 1'
_cell_length_a 6.414
_cell_length_b 6.414
_cell_length_c 7.946
_cell_angle_alpha 90.00
_cell_angle_beta 90.00
_cell_angle_gamma 120.00
loop_
_atom_site_label
_atom_site_fract_x
_atom_site_fract_y
_atom_site_fract_z
Cs1 0.000 0.000 0.000
Cs2 0.333 0.667 0.661
Cs3 0.667 0.333 0.339
K1 0.000 0.000 0.500
Pd1 0.333 0.667 0.146
Pd2 0.667 0.333 0.854
F1 0.000 0.500 0.000
F2 0.181 0.362 0.301
F3 0.181 0.819 0.301
F4 0.362 0.181 0.699
F5 0.500 0.000 0.000
F6 0.500 0.500 0.000
F7 0.638 0.819 0.301
F8 0.819 0.181 0.699
F9 0.819 0.638 0.699

=====

(8)
# SnBiPbAu2 | Alexandria via LeMat-Bulk | PBE | relaxed
# Calculated formation energy, eV per atom: -0.0853
# DFT total energy, eV per atom: -3.71
# Fermi-level density of states, states/eV/atom: 0.350
data_SnBiPbAu2
_chemical_formula_sum 'Sn2 Bi2 Pb2 Au4'
_symmetry_space_group_name_H-M 'P 1'
_symmetry_Int_Tables_number 1
_symmetry_space_group_name_Hall 'P 1'
_cell_length_a 7.085
_cell_length_b 7.085
_cell_length_c 10.837
_cell_angle_alpha 123.42
_cell_angle_beta 123.42
_cell_angle_gamma 37.51
loop_
_atom_site_label
_atom_site_fract_x
_atom_site_fract_y
_atom_site_fract_z
Sn1 0.085 0.085 0.440
Sn2 0.915 0.915 0.560
Bi1 0.379 0.379 0.116
Bi2 0.621 0.621 0.884
Pb1 0.143 0.143 0.160
Pb2 0.857 0.857 0.840
Au1 0.177 0.177 0.755
Au2 0.347 0.347 0.647
Au3 0.653 0.653 0.353
Au4 0.823 0.823 0.245